[1]
VASP calculation (PBE) on a geometry-optimized LuZnPt structure.

Cell: 4.687 4.687 5.720 Å, 90.00 90.00 120.00°
Fractional positions:
Lu: 0.667 0.333 0.250
Lu: 0.333 0.667 0.750
Pt: 0.000 0.000 0.000
Pt: 0.000 0.000 0.500
Zn: 0.333 0.667 0.250
Zn: 0.667 0.333 0.750

[2]
VASP calculation (PBE) on a geometry-optimized DyNiOs structure.

Calculated values
ΔE to the lowest computed polymorph = 0 meV per atom

Cell: 4.306 4.306 4.306 Å, 60.00 60.00 60.00°
Last column: magnetic moment on the atom in μB.
Fractional positions:
Dy: 0.250 0.250 0.250  -0.07
Ni: 0.000 0.000 0.000  0.51
Os: 0.750 0.750 0.750  0.85

Computed values of total DFT energy (no corrections) (unit: eV/f.u.) for the preceding records, in sequence: -13.83; -20.45.